VASP calculation (PBE) on a relaxed structure of LaFeAu4.

Results
Theoretical density   13.14 g cm⁻³
Size of the total moment   3.140 μB per cell
DOS at the Fermi energy   6.922 states/eV per cell

Cell lengths 5.601, 5.601, 5.601 Å; angles 60.00, 60.00, 60.00 degrees
Site moments in Bohr magnetons follow the coordinates.
Fractional coordinates of all 6 atoms:
Au  0.376  0.873  0.376  -0.01
Au  0.376  0.376  0.873  -0.01
Au  0.376  0.376  0.376  -0.01
Au  0.873  0.376  0.376  -0.01
La  0.000  0.000  0.000  -0.01
Fe  0.750  0.750  0.750  3.06

---

VASP calculation (PBE) on a relaxed structure of Na2TlCl4.

Results
Theoretical density   2.56 g cm⁻³
Size of the total moment   0.970 μB per cell
Energy relative to the lowest polymorph listed for this composition   0 meV per atom
DOS at the Fermi energy   3.395 states/eV per cell

Cell lengths 6.799, 6.799, 7.305 Å; angles 117.73, 117.73, 90.00 degrees
Site moments in Bohr magnetons follow the coordinates.
Fractional coordinates of all 7 atoms:
Cl  0.606  0.606  0.733  0.13
Cl  0.127  0.127  0.733  0.13
Cl  0.394  0.873  0.267  0.13
Cl  0.873  0.394  0.267  0.13
Na  0.250  0.750  0.500  0.00
Na  0.750  0.250  0.500  0.00
Tl  0.500  0.500  0.000  0.26

---

VASP calculation (PBE) on a relaxed structure of CsErZn2Cl8.

Results
Theoretical density   3.14 g cm⁻³
Size of the total moment   0.000 μB per cell
DOS at the Fermi energy   0.000 states/eV per cell

Cell lengths 6.499, 6.499, 11.004 Å; angles 72.82, 72.82, 60.00 degrees
Fractional coordinates of all 12 atoms:
Cl  0.279  0.950  0.150
Cl  0.186  0.186  0.441
Cl  0.721  0.050  0.850
Cl  0.050  0.378  0.850
Cl  0.814  0.814  0.559
Cl  0.950  0.622  0.150
Cl  0.378  0.721  0.850
Cl  0.622  0.279  0.150
Cs  0.500  0.500  0.500
Er  0.000  0.000  0.000
Zn  0.742  0.742  0.773
Zn  0.258  0.258  0.227

---

VASP calculation (PBE) on a relaxed structure of CdBiN2O.

Results
Theoretical density   7.59 g cm⁻³
Size of the total moment   1.279 μB per cell
DOS at the Fermi energy   4.089 states/eV per cell

Cell lengths 4.340, 4.340, 4.243 Å; angles 90.00, 90.00, 90.00 degrees
Site moments in Bohr magnetons follow the coordinates.
Fractional coordinates of all 5 atoms:
O  0.000  0.000  0.500  0.09
Bi  0.000  0.000  0.000  -0.03
Cd  0.500  0.500  0.500  -0.04
N  0.500  0.000  0.000  0.45
N  0.000  0.500  0.000  0.45

---

VASP calculation (PBE) on a relaxed structure of HoZnCoRh.

Results
Theoretical density   10.28 g cm⁻³
Size of the total moment   0.001 μB per cell
DOS at the Fermi energy   2.756 states/eV per cell

Cell lengths 4.474, 4.474, 4.474 Å; angles 60.00, 60.00, 60.00 degrees
Fractional coordinates of all 4 atoms:
Rh  0.000  0.000  0.000
Ho  0.250  0.250  0.250
Co  0.500  0.500  0.500
Zn  0.750  0.750  0.750

---

VASP calculation (PBE) on a relaxed structure of ZnNi2Rh.

Results
Theoretical density   9.51 g cm⁻³
Size of the total moment   1.294 μB per cell
DOS at the Fermi energy   3.161 states/eV per cell

Cell lengths 4.511, 4.511, 4.511 Å; angles 131.88, 131.88, 70.43 degrees
Site moments in Bohr magnetons follow the coordinates.
Fractional coordinates of all 4 atoms:
Rh  0.250  0.750  0.500  0.37
Ni  0.000  0.000  0.000  0.50
Ni  0.500  0.500  0.000  0.50
Zn  0.750  0.250  0.500  -0.02

---

VASP calculation (PBE) on a relaxed structure of HfFeC.

Results
Theoretical density   10.29 g cm⁻³
Size of the total moment   7.691 μB per cell
DOS at the Fermi energy   7.619 states/eV per cell

Cell lengths 5.591, 5.591, 6.369 Å; angles 114.19, 114.19, 93.81 degrees
Site moments in Bohr magnetons follow the coordinates.
Fractional coordinates of all 12 atoms:
Fe  0.125  0.375  0.250  2.13
Fe  0.125  0.875  0.750  2.13
Fe  0.625  0.875  0.750  2.13
Fe  0.125  0.875  0.250  2.13
C  0.533  0.033  0.500  0.03
C  0.967  0.467  0.500  0.03
C  0.283  0.283  0.000  0.03
C  0.717  0.717  0.000  0.03
Hf  0.347  0.347  0.694  -0.19
Hf  0.903  0.403  0.806  -0.19
Hf  0.597  0.097  0.194  -0.19
Hf  0.653  0.653  0.306  -0.19

---

VASP calculation (PBE) on a relaxed structure of K2Mg.

Results
Theoretical density   1.17 g cm⁻³
Size of the total moment   0.000 μB per cell
Energy relative to the lowest polymorph listed for this composition   63 meV per atom
DOS at the Fermi energy   2.341 states/eV per cell

Cell lengths 6.465, 6.454, 4.028 Å; angles 90.11, 90.00, 120.06 degrees
Fractional coordinates of all 3 atoms:
K  0.667  0.334  0.336
K  0.333  0.666  0.664
Mg  0.000  0.000  0.000

---

VASP calculation (PBE) on a relaxed structure of Na2Y2B2O7.

Results
Theoretical density   3.85 g cm⁻³
Size of the total moment   0.000 μB per cell
DOS at the Fermi energy   0.000 states/eV per cell

Cell lengths 6.294, 10.357, 10.678 Å; angles 117.76, 90.00, 90.00 degrees
Fractional coordinates of all 52 atoms:
O  0.876  0.098  0.975
O  0.958  0.586  0.149
O  0.352  0.165  0.633
O  0.542  0.086  0.149
O  0.737  0.367  0.167
O  0.747  0.867  0.685
O  0.669  0.555  0.398
O  0.244  0.229  0.151
O  0.253  0.133  0.315
O  0.247  0.633  0.315
O  0.648  0.835  0.367
O  0.831  0.055  0.398
O  0.331  0.445  0.602
O  0.169  0.945  0.602
O  0.756  0.771  0.849
O  0.042  0.414  0.851
O  0.256  0.729  0.151
O  0.376  0.402  0.025
O  0.744  0.271  0.849
O  0.763  0.867  0.167
O  0.263  0.633  0.833
O  0.624  0.598  0.975
O  0.148  0.665  0.633
O  0.852  0.335  0.367
O  0.753  0.367  0.685
O  0.458  0.914  0.851
O  0.124  0.902  0.025
O  0.237  0.133  0.833
Y  0.582  0.586  0.183
Y  0.418  0.414  0.817
Y  0.541  0.183  0.985
Y  0.041  0.317  0.015
Y  0.459  0.817  0.015
Y  0.082  0.914  0.817
Y  0.918  0.086  0.183
Y  0.959  0.683  0.985
B  0.753  0.419  0.315
B  0.847  0.352  0.792
B  0.253  0.081  0.685
B  0.153  0.648  0.208
B  0.347  0.148  0.208
B  0.747  0.919  0.315
B  0.247  0.581  0.685
B  0.653  0.852  0.792
Na  0.443  0.760  0.524
Na  0.730  0.049  0.611
Na  0.943  0.740  0.476
Na  0.557  0.240  0.476
Na  0.270  0.951  0.389
Na  0.230  0.451  0.389
Na  0.770  0.549  0.611
Na  0.057  0.260  0.524

---

VASP calculation (PBE) on a relaxed structure of K2CeReN4.

Results
Theoretical density   4.69 g cm⁻³
Size of the total moment   2.045 μB per cell
DOS at the Fermi energy   12.967 states/eV per cell

Cell lengths 6.014, 7.595, 7.147 Å; angles 90.00, 90.00, 90.00 degrees
Site moments in Bohr magnetons follow the coordinates.
Fractional coordinates of all 16 atoms:
Re  0.005  0.159  0.000  -0.07
Re  0.505  0.841  0.500  -0.07
N  0.432  0.721  0.282  0.01
N  0.879  0.938  0.000  0.01
N  0.379  0.062  0.500  0.01
N  0.307  0.135  0.000  0.01
N  0.432  0.721  0.718  0.01
N  0.932  0.279  0.218  0.01
N  0.932  0.279  0.782  0.01
N  0.807  0.865  0.500  0.01
K  0.975  0.649  0.244  0.00
K  0.475  0.351  0.256  0.00
K  0.975  0.649  0.756  0.00
K  0.475  0.351  0.744  0.00
Ce  0.496  0.880  0.000  -0.82
Ce  0.996  0.120  0.500  -0.82

---

VASP calculation (PBE) on a relaxed structure of Sb5Rh.

Results
Theoretical density   7.47 g cm⁻³
Size of the total moment   0.000 μB per cell
Energy relative to the lowest polymorph listed for this composition   137 meV per atom
DOS at the Fermi energy   4.063 states/eV per cell

Cell lengths 9.512, 9.512, 4.994 Å; angles 90.00, 90.00, 159.52 degrees
Fractional coordinates of all 6 atoms:
Sb  0.115  0.885  0.000
Sb  0.885  0.115  0.000
Sb  0.682  0.318  0.500
Sb  0.000  0.000  0.500
Sb  0.318  0.682  0.500
Rh  0.500  0.500  0.000

---

| no. | energy (eV/atom) |
| --- | --- |
| 1 | -4.54 |
| 2 | -3.01 |
| 3 | -3.57 |
| 4 | -4.20 |
| 5 | -5.41 |
| 6 | -5.17 |
| 7 | -9.30 |
| 8 | -1.06 |
| 9 | -7.67 |
| 10 | -7.29 |
| 11 | -4.58 |